*w*
Compound: LaSm2Hg
Source: Alexandria via LeMat-Bulk
Functional: GGA-PBE
Structure: relaxed

As for the mass density: 8.12 g/cm³. As for the crystal system: orthorhombic.

a = 6.6892 Å, b = 9.5978 Å, c = 8.1547 Å
α = 90.00°, β = 90.00°, γ = 90.00°
Closest atoms and distances in Å follow each position.
Fractional coordinates of all 16 atoms:
La1 0.5991 0.5267 0.2500  1 Hg 3.25, 4 Sm 3.63-3.64
La2 0.9009 0.0267 0.2500  1 Hg 3.25, 4 Sm 3.63-3.64
La3 0.4009 0.4733 0.7500  1 Hg 3.25, 4 Sm 3.63-3.64
La4 0.0991 0.9733 0.7500  1 Hg 3.25, 4 Sm 3.63-3.64
Sm1 0.3867 0.1819 0.4641  3 Hg 3.02-3.20
Sm2 0.1133 0.6819 0.0359  3 Hg 3.02-3.20
Sm3 0.8867 0.3181 0.9641  3 Hg 3.02-3.20
Sm4 0.6133 0.8181 0.9641  3 Hg 3.02-3.20
Sm5 0.6133 0.8181 0.5359  3 Hg 3.02-3.20
Sm6 0.1133 0.6819 0.4641  3 Hg 3.02-3.20
Sm7 0.3867 0.1819 0.0359  3 Hg 3.02-3.20
Sm8 0.8867 0.3181 0.5359  3 Hg 3.02-3.20
Hg1 0.1458 0.4036 0.2500  6 Sm 3.02-3.20, 1 La 3.25
Hg2 0.6458 0.0964 0.7500  6 Sm 3.02-3.20, 1 La 3.25
Hg3 0.3542 0.9036 0.2500  6 Sm 3.02-3.20, 1 La 3.25
Hg4 0.8542 0.5964 0.7500  6 Sm 3.02-3.20, 1 La 3.25

---

*x*
Compound: LaSm2Hg
Source: Alexandria via LeMat-Bulk
Functional: GGA-PBE
Structure: relaxed

As for the mass density: 8.80 g/cm³. As for the crystal system: tetragonal.

a = 4.9483 Å, b = 4.9402 Å, c = 4.9402 Å
α = 90.00°, β = 90.00°, γ = 90.00°
Closest atoms and distances in Å follow each position.
Fractional coordinates of all 4 atoms:
Hg1 0.5000 0.5000 0.5000  4 La 3.49, 8 Sm 3.50
La1 0.5000 0.0000 0.0000  4 Hg 3.49, 8 Sm 3.50
Sm1 0.0000 0.0000 0.5000  4 Sm 3.49, 4 Hg 3.50, 4 La 3.50
Sm2 0.0000 0.5000 0.0000  4 Sm 3.49, 4 La 3.50, 4 Hg 3.50

---

*y*
Compound: LaSm2Hg
Source: Alexandria via LeMat-Bulk
Functional: GGA-PBE
Structure: relaxed

As for the mass density: 8.55 g/cm³. As for the crystal system: tetragonal.

a = 3.7557 Å, b = 3.7557 Å, c = 8.8154 Å
α = 90.00°, β = 90.00°, γ = 90.00°
Closest atoms and distances in Å follow each position.
Fractional coordinates of all 4 atoms:
Sm1 0.0000 0.0000 0.7830  4 Hg 3.27, 4 La 3.64
Sm2 0.0000 0.0000 0.2170  4 Hg 3.27, 4 La 3.64
La1 0.5000 0.5000 0.5000  8 Sm 3.64, 4 La 3.76
Hg1 0.5000 0.5000 0.0000  8 Sm 3.27

---

*z*
Compound: LaSm2Hg
Source: Alexandria via LeMat-Bulk
Functional: GGA-PBE
Structure: relaxed

As for the mass density: 9.06 g/cm³. As for the crystal system: cubic.

a = 5.4953 Å, b = 5.4953 Å, c = 5.4953 Å
α = 60.00°, β = 60.00°, γ = 60.00°
Closest atoms and distances in Å follow each position.
Fractional coordinates of all 4 atoms:
Hg1 0.0000 0.0000 0.0000  8 Sm 3.37
La1 0.5000 0.5000 0.5000  8 Sm 3.37
Sm1 0.7500 0.7500 0.7500  4 Hg 3.37, 4 La 3.37
Sm2 0.2500 0.2500 0.2500  4 Hg 3.37, 4 La 3.37

---

Which structure is the most stable? The one labeled *y*.

---

*w*
Compound: LaSmHg4
Source: Alexandria via LeMat-Bulk
Functional: GGA-PBE
Structure: relaxed

As for the mass density: 9.66 g/cm³. As for the crystal system: orthorhombic.

a = 4.6127 Å, b = 4.6215 Å, c = 8.8064 Å
α = 89.99°, β = 89.99°, γ = 90.00°
Closest atoms and distances in Å follow each position.
Fractional coordinates of all 6 atoms:
Hg1 0.5010 0.9969 0.7395  2 Sm 3.14, 2 La 3.24-3.25, 4 Hg 3.26-3.27
Hg2 0.5011 0.9967 0.2568  2 Sm 3.14, 2 La 3.24-3.25, 4 Hg 3.26-3.27
Hg3 0.0015 0.4978 0.7390  2 Sm 3.14, 2 La 3.24, 4 Hg 3.26-3.27
Hg4 0.0015 0.4978 0.2573  2 Sm 3.14, 2 La 3.24-3.25, 4 Hg 3.26-3.27
Sm1 0.0009 0.9981 0.4981  8 Hg 3.14
La1 0.5017 0.4964 0.9981  8 Hg 3.24-3.25

---

*x*
Compound: LaSmHg4
Source: Alexandria via LeMat-Bulk
Functional: GGA-PBE
Structure: relaxed

As for the mass density: 11.63 g/cm³. As for the crystal system: orthorhombic.

a = 3.4852 Å, b = 5.1026 Å, c = 8.7650 Å
α = 90.00°, β = 90.00°, γ = 90.00°
Closest atoms and distances in Å follow each position.
Fractional coordinates of all 6 atoms:
Hg1 0.4986 0.9973 0.1622  3 Hg 2.88-2.94
Hg2 0.4985 0.9973 0.8341  3 Hg 2.88-2.94
Hg3 0.4987 0.4973 0.6685  3 Hg 2.94-2.99
Hg4 0.4986 0.4973 0.3278  3 Hg 2.94-2.99
La1 0.9986 0.9973 0.4981  12 Hg 3.42-3.43, 2 La 3.49
Sm1 0.9986 0.4973 0.9982  12 Hg 3.37-3.41, 2 Sm 3.49

---

Which structure is the most stable? The one labeled *x*.

---

*w*
Compound: LaSm6Hg2
Source: Alexandria via LeMat-Bulk
Functional: GGA-PBE
Structure: relaxed

As for the mass density: 8.41 g/cm³. As for the crystal system: monoclinic.

a = 3.8139 Å, b = 6.7335 Å, c = 12.0002 Å
α = 75.30°, β = 80.86°, γ = 73.55°
Closest atoms and distances in Å follow each position.
Fractional coordinates of all 9 atoms:
Hg1 0.3517 0.0827 0.2138  6 Sm 3.23-3.30, 2 La 3.31
Hg2 0.6483 0.9173 0.7862  6 Sm 3.23-3.30, 2 La 3.31
La1 0.0000 0.0000 0.0000  4 Hg 3.31
Sm1 0.0175 0.3040 0.6610  2 Hg 3.23
Sm2 0.9825 0.6960 0.3390  2 Hg 3.23
Sm3 0.6879 0.2088 0.4154  2 Hg 3.30, 8 Sm 3.53-3.64
Sm4 0.3121 0.7912 0.5846  2 Hg 3.30, 8 Sm 3.53-3.64
Sm5 0.3119 0.5015 0.8747  2 Hg 3.27, 5 Sm 3.53-3.62
Sm6 0.6881 0.4985 0.1253  2 Hg 3.27, 5 Sm 3.53-3.62

---

*x*
Compound: LaSm6Hg2
Source: Alexandria via LeMat-Bulk
Functional: GGA-PBE
Structure: relaxed

As for the mass density: 8.59 g/cm³. As for the crystal system: monoclinic.

a = 6.1728 Å, b = 9.7627 Å, c = 9.7627 Å
α = 72.23°, β = 85.33°, γ = 85.33°
Closest atoms and distances in Å follow each position.
Fractional coordinates of all 18 atoms:
Sm1 0.1923 0.9663 0.2716  2 Hg 3.14-3.39, 1 Sm 3.33, 1 La 3.51
Sm2 0.9947 0.4435 0.6758  2 Hg 3.17-3.30, 4 Sm 3.27-3.50
Sm3 0.8077 0.0337 0.7284  2 Hg 3.14-3.39, 1 Sm 3.33, 1 La 3.51
Sm4 0.8319 0.6482 0.8945  3 Hg 3.27-3.34, 5 Sm 3.39-3.61, 1 La 3.60
Sm5 0.3077 0.7284 0.0337  2 Hg 3.14-3.39, 1 Sm 3.33, 1 La 3.51
Sm6 0.4947 0.6758 0.4435  2 Hg 3.17-3.30, 4 Sm 3.27-3.50
Sm7 0.0053 0.5565 0.3242  2 Hg 3.17-3.30, 4 Sm 3.27-3.50
Sm8 0.6923 0.2716 0.9663  2 Hg 3.14-3.39, 1 Sm 3.33, 1 La 3.51
Sm9 0.6681 0.1055 0.3518  3 Hg 3.27-3.34, 5 Sm 3.39-3.61, 1 La 3.60
Sm10 0.1681 0.3518 0.1055  3 Hg 3.27-3.34, 5 Sm 3.39-3.61, 1 La 3.60
Sm11 0.3319 0.8945 0.6482  3 Hg 3.27-3.34, 5 Sm 3.39-3.61, 1 La 3.60
Sm12 0.5053 0.3242 0.5565  2 Hg 3.17-3.30, 4 Sm 3.27-3.50
Hg1 0.9022 0.7945 0.5378  7 Sm 3.14-3.39
Hg2 0.0978 0.2055 0.4622  7 Sm 3.14-3.39
Hg3 0.4022 0.5378 0.7945  7 Sm 3.14-3.39
Hg4 0.5978 0.4622 0.2055  7 Sm 3.14-3.39
La1 0.2500 0.1061 0.8939  10 Sm 3.51-3.79
La2 0.7500 0.8939 0.1061  10 Sm 3.51-3.79

---

Which structure is the most stable? The one labeled *w*.

---

*w*
Compound: LaTbSmHg
Source: Alexandria via LeMat-Bulk
Functional: GGA-PBE
Structure: relaxed

As for the mass density: 8.90 g/cm³. As for the crystal system: cubic.

a = 5.5529 Å, b = 5.5529 Å, c = 5.5529 Å
α = 60.00°, β = 60.00°, γ = 60.00°
Closest atoms and distances in Å follow each position.
Fractional coordinates of all 4 atoms:
Tb1 0.0000 0.0000 0.0000  4 Sm 3.40, 4 La 3.40
Sm1 0.7500 0.7500 0.7500  4 Hg 3.40, 4 Tb 3.40
La1 0.2500 0.2500 0.2500  4 Tb 3.40, 4 Hg 3.40
Hg1 0.5000 0.5000 0.5000  4 La 3.40, 4 Sm 3.40

---

*x*
Compound: LaTbSmHg
Source: Alexandria via LeMat-Bulk
Functional: GGA-PBE
Structure: relaxed

As for the mass density: 8.78 g/cm³. As for the crystal system: tetragonal.

a = 3.7213 Å, b = 3.7213 Å, c = 8.8605 Å
α = 90.00°, β = 90.00°, γ = 90.00°
Closest atoms and distances in Å follow each position.
Fractional coordinates of all 4 atoms:
Sm1 0.5000 0.5000 0.7882  4 Hg 3.29, 4 La 3.66
Hg1 0.0000 0.0000 0.5645  4 Tb 3.21, 4 Sm 3.29
La1 0.0000 0.0000 0.0749  4 Tb 3.63, 4 Sm 3.66, 4 La 3.72
Tb1 0.5000 0.5000 0.3570  4 Hg 3.21

---

Which structure is the most stable? The one labeled *x*.

---

*w*
Compound: LaSmZnHg
Source: Alexandria via LeMat-Bulk
Functional: GGA-PBE
Structure: relaxed

As for the mass density: 8.46 g/cm³. As for the crystal system: cubic.

a = 5.3612 Å, b = 5.3612 Å, c = 5.3612 Å
α = 60.00°, β = 60.00°, γ = 60.00°
Closest atoms and distances in Å follow each position.
Fractional coordinates of all 4 atoms:
La1 0.0000 0.0000 0.0000  4 Hg 3.28, 4 Zn 3.28
Sm1 0.5000 0.5000 0.5000  4 Hg 3.28, 4 Zn 3.28
Hg1 0.7500 0.7500 0.7500  4 La 3.28, 4 Sm 3.28
Zn1 0.2500 0.2500 0.2500  4 La 3.28, 4 Sm 3.28

---

*x*
Compound: LaSmZnHg
Source: Alexandria via LeMat-Bulk
Functional: GGA-PBE
Structure: relaxed

As for the mass density: 8.58 g/cm³. As for the crystal system: tetragonal.

a = 3.7567 Å, b = 3.7567 Å, c = 7.6146 Å
α = 90.00°, β = 90.00°, γ = 90.00°
Closest atoms and distances in Å follow each position.
Fractional coordinates of all 4 atoms:
La1 0.5000 0.5000 0.1248  4 Zn 3.25, 4 Hg 3.42, 1 Sm 3.54
Sm1 0.5000 0.5000 0.5897  4 Zn 3.13, 4 Hg 3.28
Zn1 0.0000 0.0000 0.3717  4 Sm 3.13, 4 La 3.25
Hg1 0.0000 0.0000 0.8418  4 Sm 3.28, 4 La 3.42, 1 Zn 3.58

---

Which structure is the most stable? The one labeled *x*.